i | Cu6Pd12Pt: relaxed, PBE.

```
data_Cu6Pd12Pt
_chemical_formula_sum 'Cu18 Pd36 Pt3'
_cell_length_a 11.9258
_cell_length_b 11.9258
_cell_length_c 6.6939
_cell_angle_alpha 90.00
_cell_angle_beta 90.00
_cell_angle_gamma 120.00
_space_group_name_H-M_alt 'R -3'
_space_group_IT_number 148
_space_group_name_Hall '-R 3'
loop_
_atom_site_label
_atom_site_type_symbol
_atom_site_fract_x
_atom_site_fract_y
_atom_site_fract_z
_atom_site_occupancy
Cu1 Cu 0.0343 0.2810 0.3315 1
Pd1 Pd 0.0144 0.1423 0.6640 1
Pd2 Pd 0.0665 0.5608 0.6707 1
Pt1 Pt 0.0000 0.0000 0.0000 1
```

ii | Cu6Pd12Pt: relaxed, PBE.

```
data_Cu6Pd12Pt
_chemical_formula_sum 'Cu18 Pd36 Pt3'
_cell_length_a 10.6899
_cell_length_b 10.6899
_cell_length_c 8.7359
_cell_angle_alpha 90.00
_cell_angle_beta 90.00
_cell_angle_gamma 120.00
_space_group_name_H-M_alt 'R -3 m'
_space_group_IT_number 166
_space_group_name_Hall '-R 3 2"'
loop_
_atom_site_label
_atom_site_type_symbol
_atom_site_fract_x
_atom_site_fract_y
_atom_site_fract_z
_atom_site_occupancy
Cu1 Cu 0.0830 0.1661 0.2517 1
Pd1 Pd 0.0000 0.2620 0.5000 1
Pd2 Pd 0.0768 0.5384 0.6172 1
Pt1 Pt 0.0000 0.0000 0.5000 1
```

Which is the most stable structure? i is the most stable.

i | CuPd2Pt6: relaxed, PBE.

```
data_CuPd2Pt6
_chemical_formula_sum 'Cu2 Pd4 Pt12'
_cell_length_a 8.322
_cell_length_b 8.322
_cell_length_c 3.961
_cell_angle_alpha 90.00
_cell_angle_beta 90.00
_cell_angle_gamma 90.00
_space_group_name_H-M_alt 'P 42/m n m'
_space_group_IT_number 136
_space_group_name_Hall '-P 4n 2n'
loop_
_atom_site_label
_atom_site_type_symbol
_atom_site_fract_x
_atom_site_fract_y
_atom_site_fract_z
_atom_site_occupancy
Cu1 Cu 0.000 0.000 0.000 1
Pd1 Pd 0.159 0.159 0.500 1
Pt1 Pt 0.005 0.670 0.000 1
Pt2 Pt 0.168 0.832 0.500 1
```

ii | CuPd2Pt6: relaxed, PBE.

```
data_CuPd2Pt6
_chemical_formula_sum 'Cu1 Pd2 Pt6'
_cell_length_a 2.7410
_cell_length_b 2.7410
_cell_length_c 21.3981
_cell_angle_alpha 90.00
_cell_angle_beta 90.00
_cell_angle_gamma 120.00
_space_group_name_H-M_alt 'P -6 m 2'
_space_group_IT_number 187
_space_group_name_Hall 'P -6 2'
loop_
_atom_site_label
_atom_site_type_symbol
_atom_site_fract_x
_atom_site_fract_y
_atom_site_fract_z
_atom_site_occupancy
Cu1 Cu 0.0000 0.0000 0.0000 1
Pd1 Pd 0.3333 0.6667 0.3272 1
Pt1 Pt 0.0000 0.0000 0.2160 1
Pt2 Pt 0.0000 0.0000 0.4380 1
Pt3 Pt 0.3333 0.6667 0.1012 1
```

Which is the most stable structure? i is the most stable.

i | CuPd7Pt4: relaxed, PBE.

```
data_CuPd7Pt4
_chemical_formula_sum 'Cu1 Pd7 Pt4'
_cell_length_a 2.7787
_cell_length_b 2.7787
_cell_length_c 27.3614
_cell_angle_alpha 90.00
_cell_angle_beta 90.00
_cell_angle_gamma 120.00
_space_group_name_H-M_alt 'P -3 m 1'
_space_group_IT_number 164
_space_group_name_Hall '-P 3 2"'
loop_
_atom_site_label
_atom_site_type_symbol
_atom_site_fract_x
_atom_site_fract_y
_atom_site_fract_z
_atom_site_occupancy
Cu1 Cu 0.0000 0.0000 0.0000 1
Pd1 Pd 0.0000 0.0000 0.2473 1
Pd2 Pd 0.0000 0.0000 0.5000 1
Pd3 Pd 0.3333 0.6667 0.6691 1
Pd4 Pd 0.3333 0.6667 0.9232 1
Pt1 Pt 0.3333 0.6667 0.1623 1
Pt2 Pt 0.3333 0.6667 0.4155 1
```

ii | CuPd7Pt4: relaxed, PBE.

```
data_CuPd7Pt4
_chemical_formula_sum 'Cu2 Pd14 Pt8'
_cell_length_a 9.825
_cell_length_b 4.759
_cell_length_c 9.799
_cell_angle_alpha 90.00
_cell_angle_beta 119.68
_cell_angle_gamma 90.00
_space_group_name_H-M_alt 'C 1 2/m 1'
_space_group_IT_number 12
loop_
_space_group_symop_operation_xyz
'x,y,z'
'-x,-y,-z'
'-x,y,-z'
'x,-y,z'
'x+1/2,y+1/2,z'
'-x+1/2,-y+1/2,-z'
'-x+1/2,y+1/2,-z'
'x+1/2,-y+1/2,z'
loop_
_atom_site_label
_atom_site_type_symbol
_atom_site_fract_x
_atom_site_fract_y
_atom_site_fract_z
_atom_site_occupancy
Cu1 Cu 0.000 0.000 0.000 1
Pd1 Pd 0.000 0.500 0.000 1
Pd2 Pd 0.113 0.000 0.455 1
Pd3 Pd 0.155 0.500 0.621 1
Pd4 Pd 0.223 0.500 0.922 1
Pt1 Pt 0.083 0.500 0.308 1
Pt2 Pt 0.191 0.000 0.771 1
```

Which is the most stable structure? i is the most stable.

i | Cu3PdPt3: relaxed, PBE.

```
data_Cu3PdPt3
_chemical_formula_sum 'Cu6 Pd2 Pt6'
_cell_length_a 9.4594
_cell_length_b 9.4594
_cell_length_c 2.7654
_cell_angle_alpha 90.00
_cell_angle_beta 90.00
_cell_angle_gamma 120.00
_space_group_name_H-M_alt 'P 63/m'
_space_group_IT_number 176
_space_group_name_Hall '-P 6c'
loop_
_atom_site_label
_atom_site_type_symbol
_atom_site_fract_x
_atom_site_fract_y
_atom_site_fract_z
_atom_site_occupancy
Cu1 Cu 0.0889 0.4747 0.2500 1
Pd1 Pd 0.3333 0.6667 0.7500 1
Pt1 Pt 0.0763 0.7913 0.2500 1
```

ii | Cu3PdPt3: relaxed, PBE.

```
data_Cu3PdPt3
_chemical_formula_sum 'Cu9 Pd3 Pt9'
_cell_length_a 8.5594
_cell_length_b 8.5594
_cell_length_c 5.1717
_cell_angle_alpha 90.00
_cell_angle_beta 90.00
_cell_angle_gamma 120.00
_space_group_name_H-M_alt 'R 3 m'
_space_group_IT_number 160
_space_group_name_Hall 'R 3 -2"'
loop_
_atom_site_label
_atom_site_type_symbol
_atom_site_fract_x
_atom_site_fract_y
_atom_site_fract_z
_atom_site_occupancy
Cu1 Cu 0.1712 0.3423 0.0000 1
Pd1 Pd 0.0000 0.0000 0.6065 1
Pt1 Pt 0.1730 0.3461 0.5008 1
```

Which is the most stable structure? ii is the most stable.

i | Cu3Pd2Pt3: relaxed, PBE.

```
data_Cu3Pd2Pt3
_chemical_formula_sum 'Cu3 Pd2 Pt3'
_cell_length_a 3.759
_cell_length_b 3.912
_cell_length_c 7.820
_cell_angle_alpha 90.00
_cell_angle_beta 90.00
_cell_angle_gamma 90.00
_space_group_name_H-M_alt 'P m m m'
_space_group_IT_number 47
loop_
_space_group_symop_operation_xyz
'x,y,z'
'-x,-y,-z'
'-x,-y,z'
'x,y,-z'
'x,-y,-z'
'-x,y,z'
'-x,y,-z'
'x,-y,z'
loop_
_atom_site_label
_atom_site_type_symbol
_atom_site_fract_x
_atom_site_fract_y
_atom_site_fract_z
_atom_site_occupancy
Cu1 Cu 0.000 0.000 0.000 1
Cu2 Cu 0.000 0.500 0.246 1
Pd1 Pd 0.500 0.000 0.242 1
Pt1 Pt 0.000 0.000 0.500 1
Pt2 Pt 0.500 0.500 0.000 1
Pt3 Pt 0.500 0.500 0.500 1
```

ii | Cu3Pd2Pt3: relaxed, PBE.

```
data_Cu3Pd2Pt3
_chemical_formula_sum 'Cu3 Pd2 Pt3'
_cell_length_a 4.671
_cell_length_b 4.734
_cell_length_c 6.150
_cell_angle_alpha 105.05
_cell_angle_beta 104.60
_cell_angle_gamma 109.19
_space_group_name_H-M_alt 'P -1'
_space_group_IT_number 2
loop_
_space_group_symop_operation_xyz
'x,y,z'
'-x,-y,-z'
loop_
_atom_site_label
_atom_site_type_symbol
_atom_site_fract_x
_atom_site_fract_y
_atom_site_fract_z
_atom_site_occupancy
Cu1 Cu 0.000 0.000 0.000 1
Cu2 Cu 0.124 0.624 0.248 1
Pd1 Pd 0.249 0.249 0.498 1
Pt1 Pt 0.378 0.878 0.755 1
Pt2 Pt 0.500 0.500 0.000 1
```

Which is the most stable structure? ii is the most stable.

i | Cu8PdPt2: relaxed, PBE.

```
data_Cu8PdPt2
_chemical_formula_sum 'Cu16 Pd2 Pt4'
_cell_length_a 6.816
_cell_length_b 12.900
_cell_length_c 4.475
_cell_angle_alpha 90.00
_cell_angle_beta 130.91
_cell_angle_gamma 90.00
_space_group_name_H-M_alt 'C 1 2/m 1'
_space_group_IT_number 12
loop_
_space_group_symop_operation_xyz
'x,y,z'
'-x,-y,-z'
'-x,y,-z'
'x,-y,z'
'x+1/2,y+1/2,z'
'-x+1/2,-y+1/2,-z'
'-x+1/2,y+1/2,-z'
'x+1/2,-y+1/2,z'
loop_
_atom_site_label
_atom_site_type_symbol
_atom_site_fract_x
_atom_site_fract_y
_atom_site_fract_z
_atom_site_occupancy
Cu1 Cu 0.000 0.200 0.000 1
Cu2 Cu 0.004 0.500 0.257 1
Cu3 Cu 0.235 0.133 0.736 1
Pd1 Pd 0.000 0.000 0.000 1
Pt1 Pt 0.000 0.317 0.500 1
```

ii | Cu8PdPt2: relaxed, PBE.

```
data_Cu8PdPt2
_chemical_formula_sum 'Cu16 Pd2 Pt4'
_cell_length_a 4.263
_cell_length_b 6.763
_cell_length_c 10.370
_cell_angle_alpha 90.00
_cell_angle_beta 90.00
_cell_angle_gamma 90.00
_space_group_name_H-M_alt 'I m m m'
_space_group_IT_number 71
_space_group_name_Hall '-I 2 2'
loop_
_atom_site_label
_atom_site_type_symbol
_atom_site_fract_x
_atom_site_fract_y
_atom_site_fract_z
_atom_site_occupancy
Cu1 Cu 0.000 0.000 0.144 1
Cu2 Cu 0.000 0.188 0.360 1
Cu3 Cu 0.000 0.300 0.000 1
Pd1 Pd 0.000 0.500 0.500 1
Pt1 Pt 0.000 0.500 0.214 1
```

Which is the most stable structure? ii is the most stable.

i | Cu7Pd3Pt: relaxed, PBE.

```
data_Cu7Pd3Pt
_chemical_formula_sum 'Cu14 Pd6 Pt2'
_cell_length_a 9.000
_cell_length_b 9.021
_cell_length_c 4.634
_cell_angle_alpha 90.00
_cell_angle_beta 119.57
_cell_angle_gamma 90.00
_space_group_name_H-M_alt 'C 1 2/m 1'
_space_group_IT_number 12
loop_
_space_group_symop_operation_xyz
'x,y,z'
'-x,-y,-z'
'-x,y,-z'
'x,-y,z'
'x+1/2,y+1/2,z'
'-x+1/2,-y+1/2,-z'
'-x+1/2,y+1/2,-z'
'x+1/2,-y+1/2,z'
loop_
_atom_site_label
_atom_site_type_symbol
_atom_site_fract_x
_atom_site_fract_y
_atom_site_fract_z
_atom_site_occupancy
Cu1 Cu 0.000 0.000 0.000 1
Cu2 Cu 0.169 0.252 0.668 1
Cu3 Cu 0.181 0.500 0.166 1
Pd1 Pd 0.000 0.271 0.000 1
Pd2 Pd 0.000 0.500 0.500 1
Pt1 Pt 0.000 0.000 0.500 1
```

ii | Cu7Pd3Pt: relaxed, PBE.

```
data_Cu7Pd3Pt
_chemical_formula_sum 'Cu28 Pd12 Pt4'
_cell_length_a 2.673
_cell_length_b 19.834
_cell_length_c 11.941
_cell_angle_alpha 90.00
_cell_angle_beta 90.00
_cell_angle_gamma 90.00
_space_group_name_H-M_alt 'C m c m'
_space_group_IT_number 63
_space_group_name_Hall '-C 2c 2'
loop_
_atom_site_label
_atom_site_type_symbol
_atom_site_fract_x
_atom_site_fract_y
_atom_site_fract_z
_atom_site_occupancy
Cu1 Cu 0.000 0.035 0.084 1
Cu2 Cu 0.000 0.094 0.602 1
Cu3 Cu 0.000 0.112 0.250 1
Cu4 Cu 0.000 0.223 0.582 1
Pd1 Pd 0.000 0.330 0.250 1
Pd2 Pd 0.000 0.351 0.568 1
Pt1 Pt 0.000 0.481 0.250 1
```

Which is the most stable structure? ii is the most stable.

i | Cu5Pd4Pt2: relaxed, PBE.

```
data_Cu5Pd4Pt2
_chemical_formula_sum 'Cu20 Pd16 Pt8'
_cell_length_a 4.821
_cell_length_b 8.032
_cell_length_c 17.641
_cell_angle_alpha 90.00
_cell_angle_beta 90.00
_cell_angle_gamma 90.00
_space_group_name_H-M_alt 'F m m m'
_space_group_IT_number 69
_space_group_name_Hall '-F 2 2'
loop_
_atom_site_label
_atom_site_type_symbol
_atom_site_fract_x
_atom_site_fract_y
_atom_site_fract_z
_atom_site_occupancy
Cu1 Cu 0.000 0.000 0.000 1
Cu2 Cu 0.250 0.250 0.000 1
Cu3 Cu 0.250 0.250 0.250 1
Pd1 Pd 0.000 0.165 0.126 1
Pt1 Pt 0.000 0.000 0.328 1
```

ii | Cu5Pd4Pt2: relaxed, PBE.

```
data_Cu5Pd4Pt2
_chemical_formula_sum 'Cu10 Pd8 Pt4'
_cell_length_a 16.940
_cell_length_b 2.711
_cell_length_c 6.855
_cell_angle_alpha 90.00
_cell_angle_beta 91.88
_cell_angle_gamma 90.00
_space_group_name_H-M_alt 'C 1 2/m 1'
_space_group_IT_number 12
loop_
_space_group_symop_operation_xyz
'x,y,z'
'-x,-y,-z'
'-x,y,-z'
'x,-y,z'
'x+1/2,y+1/2,z'
'-x+1/2,-y+1/2,-z'
'-x+1/2,y+1/2,-z'
'x+1/2,-y+1/2,z'
loop_
_atom_site_label
_atom_site_type_symbol
_atom_site_fract_x
_atom_site_fract_y
_atom_site_fract_z
_atom_site_occupancy
Cu1 Cu 0.000 0.000 0.000 1
Cu2 Cu 0.130 0.500 0.090 1
Cu3 Cu 0.188 0.500 0.454 1
Pd1 Pd 0.081 0.500 0.728 1
Pd2 Pd 0.238 0.500 0.821 1
Pt1 Pt 0.060 0.000 0.363 1
```

Which is the most stable structure? ii is the most stable.